1.
Computed, not measured: CeSmHo2Se6 after structural relaxation at the PBE level of DFT.

Lattice parameters (Å, degrees): 7.319 7.319 7.758 61.85 61.86 60.00
Site moments in Bohr magnetons follow the coordinates.
Fractional coordinates of all 10 atoms:
Ce: 0.813 0.813 0.561  0.96
Sm: 0.315 0.315 0.056  0.00
Ho: 0.514 0.514 0.458  0.01
Ho: 0.013 0.013 0.961  0.01
Se: 0.622 0.229 0.246  -0.01
Se: 0.229 0.903 0.246  -0.01
Se: 0.903 0.622 0.246  -0.01
Se: 0.395 0.728 0.747  -0.01
Se: 0.728 0.130 0.747  -0.01
Se: 0.130 0.395 0.747  -0.01

Computed properties:
Magnetic moment, μB per atom: 0.1006
D(E_F), states/eV/cell: 4.8
VASP energy, eV/atom: -5.891

2.
Computed, not measured: Ce2Sm3HoSe6 after structural relaxation at the PBE level of DFT.

Lattice parameters (Å, degrees): 7.208 7.208 7.221 99.60 99.60 120.09
Site moments in Bohr magnetons follow the coordinates.
Fractional coordinates of all 12 atoms:
Ce: 0.334 0.666 0.000  0.76
Ce: 0.666 0.334 0.000  0.76
Sm: 0.168 0.832 0.500  0.00
Sm: 0.832 0.168 0.500  0.00
Sm: 0.500 0.500 0.500  0.00
Ho: 0.000 0.000 0.000  0.04
Se: 0.918 0.591 0.753  -0.01
Se: 0.757 0.757 0.249  -0.01
Se: 0.082 0.409 0.247  -0.01
Se: 0.591 0.918 0.753  -0.01
Se: 0.243 0.243 0.751  -0.01
Se: 0.409 0.082 0.247  -0.01

Computed properties:
Magnetic moment, μB per atom: 0.1529
D(E_F), states/eV/cell: 14.8
VASP energy, eV/atom: -6.100

3.
Computed, not measured: SrCeHo2Se4 after structural relaxation at the PBE level of DFT.

Lattice parameters (Å, degrees): 4.148 7.257 7.259 70.92 90.00 90.00
Site moments in Bohr magnetons follow the coordinates.
Fractional coordinates of all 8 atoms:
Sr: 0.000 0.500 0.500  0.00
Ce: 0.500 0.500 0.000  0.94
Ho: 0.000 0.000 0.000  0.02
Ho: 0.500 0.000 0.500  0.00
Se: 0.000 0.766 0.747  -0.01
Se: 0.000 0.234 0.253  -0.01
Se: 0.500 0.768 0.241  0.00
Se: 0.500 0.232 0.759  0.00

Computed properties:
Magnetic moment, μB per atom: 0.1457
D(E_F), states/eV/cell: 8.8
VASP energy, eV/atom: -5.646

4.
Computed, not measured: SrCe2HoSe4 after structural relaxation at the PBE level of DFT.

Lattice parameters (Å, degrees): 4.191 7.379 7.297 71.01 90.00 90.00
Site moments in Bohr magnetons follow the coordinates.
Fractional coordinates of all 8 atoms:
Sr: 0.500 0.500 0.000  0.01
Ce: 0.000 0.000 0.000  1.03
Ce: 0.500 0.000 0.500  0.97
Ho: 0.000 0.500 0.500  0.01
Se: 0.000 0.749 0.740  -0.01
Se: 0.000 0.251 0.260  -0.01
Se: 0.500 0.741 0.262  -0.01
Se: 0.500 0.259 0.738  -0.01

Computed properties:
Magnetic moment, μB per atom: 0.3155
D(E_F), states/eV/cell: 13.6
VASP energy, eV/atom: -5.814

5.
Computed, not measured: Tb2CeHoSe5 after structural relaxation at the PBE level of DFT.

Lattice parameters (Å, degrees): 5.133 5.133 11.032 90.00 90.00 90.00
Site moments in Bohr magnetons follow the coordinates.
Fractional coordinates of all 9 atoms:
Tb: 0.500 0.500 0.345  0.03
Tb: 0.500 0.500 0.655  0.03
Ce: 0.000 0.000 0.000  1.14
Ho: 0.000 0.000 0.500  0.01
Se: 0.000 0.500 0.500  0.00
Se: 0.500 0.000 0.500  0.00
Se: 0.000 0.000 0.747  -0.01
Se: 0.000 0.000 0.253  -0.01
Se: 0.500 0.500 0.000  -0.01

Computed properties:
Magnetic moment, μB per atom: 0.1409
D(E_F), states/eV/cell: 12.3
VASP energy, eV/atom: -5.292

6.
Computed, not measured: Tb2Ce3HoSe6 after structural relaxation at the PBE level of DFT.

Lattice parameters (Å, degrees): 7.131 7.131 7.254 99.43 99.43 120.05
Site moments in Bohr magnetons follow the coordinates.
Fractional coordinates of all 12 atoms:
Tb: 0.334 0.666 0.000  -0.01
Tb: 0.666 0.334 0.000  -0.01
Ce: 0.168 0.832 0.500  0.84
Ce: 0.832 0.168 0.500  0.84
Ce: 0.500 0.500 0.500  0.84
Ho: 0.000 0.000 0.000  -0.01
Se: 0.921 0.590 0.762  -0.01
Se: 0.749 0.749 0.239  -0.01
Se: 0.079 0.410 0.238  -0.01
Se: 0.590 0.921 0.762  -0.01
Se: 0.251 0.251 0.761  -0.01
Se: 0.410 0.079 0.238  -0.01

Computed properties:
Magnetic moment, μB per atom: 0.2480
D(E_F), states/eV/cell: 19.1
VASP energy, eV/atom: -6.180